# 1
Below is a relaxed structure of KTiO2, with properties calculated at the GGA-PBE level.

a b c (Å): 6.1311 6.1311 6.1311
angles (deg): 126.70 126.70 78.75
Last column: nearest neighbours and their distance in Å.
Fractional coordinates of all 8 atoms:
K 0.0000 0.0000 0.0000  4 O 2.81
K 0.7500 0.2500 0.5000  4 O 2.81
Ti 0.2500 0.7500 0.5000  4 O 1.91
Ti 0.5000 0.5000 0.0000  4 O 1.91
O 0.2642 0.6250 0.1392  2 Ti 1.91
O 0.3750 0.5142 0.6392  2 Ti 1.91
O 0.4858 0.1250 0.8608  2 Ti 1.91
O 0.8750 0.7358 0.3608  2 Ti 1.91

Its total magnetization is 0.23 μB/atom. As for the symmetry: I-42d.

---

# 2
Below is a relaxed structure of Pu8Te4As3S, with properties calculated at the GGA-PBE level.

a b c (Å): 8.5832 8.5832 8.5832
angles (deg): 59.27 59.27 59.27
Last column: nearest neighbours and their distance in Å.
Fractional coordinates of all 16 atoms:
Pu 0.2426 0.2426 0.2426  3 As 2.93, 3 Te 3.11
Pu 0.2455 0.7383 0.7383  1 S 2.88, 2 As 2.92, 3 Te 3.12-3.16
Pu 0.2617 0.2617 0.7545  1 S 2.88, 2 As 2.92, 3 Te 3.12-3.16
Pu 0.2617 0.7545 0.2617  1 S 2.88, 2 As 2.92, 3 Te 3.12-3.16
Pu 0.7383 0.2455 0.7383  1 S 2.88, 2 As 2.92, 3 Te 3.12-3.16
Pu 0.7383 0.7383 0.2455  1 S 2.88, 2 As 2.92, 3 Te 3.12-3.16
Pu 0.7545 0.2617 0.2617  1 S 2.88, 2 As 2.92, 3 Te 3.12-3.16
Pu 0.7574 0.7574 0.7574  3 As 2.93, 3 Te 3.11
Te 0.0000 0.0000 0.0000  6 Pu 3.16
Te 0.0000 0.5000 0.5000  6 Pu 3.11-3.12
Te 0.5000 0.0000 0.5000  6 Pu 3.11-3.12
Te 0.5000 0.5000 0.0000  6 Pu 3.11-3.12
As 0.0000 0.0000 0.5000  6 Pu 2.92-2.93
As 0.0000 0.5000 0.0000  6 Pu 2.92-2.93
As 0.5000 0.0000 0.0000  6 Pu 2.92-2.93
S 0.5000 0.5000 0.5000  6 Pu 2.88

Its total magnetization is 1.37 μB/atom. As for the symmetry: R-3m.

---

| no. | E_tot (eV per atom) | formation energy (no corrections) (eV per atom) | D(E_F) (states/eV/f.u.) |
| --- | --- | --- | --- |
| 1 | -7.02 | -2.294 | 2.2 |
| 2 | -10.21 | -1.129 | 91.4 |